1.
The following is a DFT calculation (PBE) of a geometry-optimized Ti3Zn3Au2 structure.

a b c (Å): 12.717 4.708 4.656
angles (deg): 90.00 110.72 90.00
Positions (direct):
Ti  0.000  0.000  0.000
Ti  0.126  0.000  0.610
Ti  0.374  0.500  0.390
Ti  0.500  0.500  0.000
Ti  0.626  0.500  0.610
Ti  0.874  0.000  0.390
Zn  0.000  0.500  0.500
Zn  0.121  0.500  0.139
Zn  0.379  0.000  0.861
Zn  0.500  0.000  0.500
Zn  0.621  0.000  0.139
Zn  0.879  0.500  0.861
Au  0.247  0.000  0.228
Au  0.253  0.500  0.772
Au  0.747  0.500  0.228
Au  0.753  0.000  0.772

N(E_F)   12.1 states/eV/cell
E_form   -0.20 eV/atom
ΔE to the lowest computed polymorph   0.000 eV per atom



2.
The following is a DFT calculation (PBE) of a geometry-optimized FeIr4W structure.

a b c (Å): 5.104 5.104 5.104
angles (deg): 60.00 60.00 60.00
Positions (direct):
Fe  0.000  0.000  0.000
Ir  0.124  0.625  0.625
Ir  0.625  0.124  0.625
Ir  0.625  0.625  0.124
Ir  0.625  0.625  0.625
W  0.250  0.250  0.250

N(E_F)   6.3 states/eV/cell
E_form   0.37 eV/atom
ΔE to the lowest computed polymorph   0.479 eV per atom



3.
The following is a DFT calculation (PBE) of a geometry-optimized TbSm2Rh3 structure.

a b c (Å): 4.924 4.924 6.022
angles (deg): 90.00 90.00 120.00
Positions (direct):
Tb  0.000  0.000  0.000
Sm  0.333  0.667  0.668
Sm  0.667  0.333  0.332
Rh  0.000  0.000  0.500
Rh  0.333  0.667  0.162
Rh  0.667  0.333  0.838

N(E_F)   4.9 states/eV/cell
E_form   -0.76 eV/atom
ΔE to the lowest computed polymorph   0.000 eV per atom



4.
The following is a DFT calculation (PBE) of a geometry-optimized CaCeH6Rh2 structure.

a b c (Å): 5.969 5.969 5.969
angles (deg): 47.76 47.76 47.76
Positions (direct):
Ca  0.000  0.000  0.000
Ce  0.500  0.500  0.500
H  0.067  0.067  0.535
H  0.067  0.535  0.067
H  0.465  0.933  0.933
H  0.535  0.067  0.067
H  0.933  0.465  0.933
H  0.933  0.933  0.465
Rh  0.288  0.288  0.288
Rh  0.712  0.712  0.712

N(E_F)   5.2 states/eV/cell
E   -4.638 eV/atom



5.
The following is a DFT calculation (PBE) of a geometry-optimized BaAg2P structure.

a b c (Å): 7.955 4.590 6.176
angles (deg): 90.00 115.33 90.00
Positions (direct):
Ba  0.000  0.000  0.000
Ba  0.500  0.500  0.000
Ag  0.203  0.000  0.611
Ag  0.297  0.500  0.389
Ag  0.703  0.500  0.611
Ag  0.797  0.000  0.389
P  0.000  0.500  0.500
P  0.500  0.000  0.500

N(E_F)   5.3 states/eV/cell
E_form   -0.18 eV/atom



6.
The following is a DFT calculation (PBE) of a geometry-optimized ZnHg2Ge2 structure.

a b c (Å): 4.375 4.375 12.463
angles (deg): 90.00 90.00 90.00
Positions (direct):
Zn  0.000  0.000  0.000
Zn  0.500  0.500  0.500
Hg  0.000  0.500  0.250
Hg  0.000  0.500  0.750
Hg  0.500  0.000  0.250
Hg  0.500  0.000  0.750
Ge  0.000  0.000  0.399
Ge  0.000  0.000  0.601
Ge  0.500  0.500  0.101
Ge  0.500  0.500  0.899

N(E_F)   4.7 states/eV/cell
E_form   0.38 eV/atom
ΔE to the lowest computed polymorph   0.168 eV per atom



- Which of these has the highest N(E_F)?
  Ti3Zn3Au2